# 1
VASP calculation (PBE) on a relaxed ZrZn2Co crystal.

Lattice parameters (Å, degrees): 9.0345 9.0345 9.0345 18.32 18.32 18.32
Sites, in units of the cell vectors:
Zn1 0.0117 0.0117 0.0117
Co1 0.7500 0.7500 0.7500
Zn2 0.4883 0.4883 0.4883
Zr1 0.2500 0.2500 0.2500

Results
The electronic total energy comes out at -17.8 eV per cell. The symmetry is R-3m. Its volume is 63.61 Å³/cell. The value obtained for the density of states at the Fermi level is 3.4 states/eV/cell. The formation enthalpy at 0 K is 0.42 eV per formula unit.

# 2
VASP calculation (PBE) on a relaxed Li2SmPt crystal.

Lattice parameters (Å, degrees): 4.6249 4.6249 4.6316 60.05 60.05 60.00
Sites, in units of the cell vectors:
Li1 0.7503 0.7503 0.7490
Li2 0.2497 0.2497 0.2510
Pt1 0.5000 0.5000 0.5000
Sm1 0.0000 0.0000 0.0000

Results
The electronic total energy comes out at -16.1 eV per cell. The symmetry is R-3m. Its volume is 70.10 Å³/cell. The value obtained for the density of states at the Fermi level is 4.7 states/eV/cell. The formation enthalpy at 0 K is -1.47 eV per formula unit.